! Rh4PbAu (PBE-GGA, optimized geometry); values from VASP
&SYSTEM
  ibrav = 0, nat = 6, ntyp = 3
/
ATOMIC_SPECIES
Rh 102.91 Rh.upf
Au 196.97 Au.upf
Pb 207.20 Pb.upf
CELL_PARAMETERS angstrom
3.703 -2.086 3.095
-1.304 -1.969 4.698
0.135 -5.195 0.802
ATOMIC_POSITIONS crystal
Rh 0.874 0.375 0.375
Au 0.750 0.750 0.750
Rh 0.375 0.375 0.375
Rh 0.375 0.874 0.375
Pb 0.000 0.000 0.000
Rh 0.375 0.375 0.874
! **Crystal system**: cubic
! **Energy of formation from the pure elements**: 1.791 eV/f.u.